(1)
Entry from the Alexandria database: a geometry-optimized La2YC6 structure (PBE-GGA).

Cell and atoms, written as POSCAR:
```
La2YC6
1.0
3.775 -1.921 0.000
3.775 1.921 0.000
-1.514 0.000 9.943
La Y C
2 1 6
direct
0.166 0.166 0.172
0.834 0.834 0.828
0.500 0.500 0.500
0.099 0.099 0.682
0.236 0.236 0.618
0.434 0.434 0.035
0.566 0.566 0.965
0.764 0.764 0.382
0.901 0.901 0.318
```

Output
Density of states at the Fermi level, states/eV/atom: 0.4016
Electronic total energy, eV for the cell shown: -73.14
ΔE_f, meV per atom: -164.0
SG: C2/m
Crystal system: monoclinic

---

(2)
Entry from the Alexandria database: a geometry-optimized LaYC structure (PBE-GGA).

Cell and atoms, written as POSCAR:
```
LaYC
1.0
6.647 -1.832 0.000
6.647 1.832 0.000
-1.038 0.000 6.316
La Y C
2 2 2
direct
0.139 0.139 0.376
0.861 0.861 0.624
0.351 0.351 0.116
0.649 0.649 0.884
0.248 0.248 0.759
0.752 0.752 0.241
```

Output
Density of states at the Fermi level, states/eV/atom: 0.7422
Electronic total energy, eV for the cell shown: -42.31
ΔE_f, meV per atom: -179.8
SG: C2/m
Crystal system: monoclinic

---

(3)
Entry from the Alexandria database: a geometry-optimized LaYC structure (PBE-GGA).

Cell and atoms, written as POSCAR:
```
LaYC
1.0
3.669 0.000 0.000
0.000 5.102 0.000
0.000 0.000 8.229
La Y C
2 2 2
direct
0.250 0.250 0.170
0.750 0.750 0.830
0.250 0.250 0.590
0.750 0.750 0.410
0.250 0.750 0.621
0.750 0.250 0.379
```

Output
Density of states at the Fermi level, states/eV/atom: 1.2595
Electronic total energy, eV for the cell shown: -42.30
ΔE_f, meV per atom: -177.5
SG: Pmmn
Crystal system: orthorhombic

---

(4)
Entry from the Alexandria database: a geometry-optimized LaY2C structure (PBE-GGA).

Cell and atoms, written as POSCAR:
```
LaY2C
1.0
-3.661 3.661 5.183
3.661 -3.661 5.183
3.661 3.661 -5.183
La Y C
2 4 2
direct
0.000 0.000 0.000
0.750 0.250 0.500
0.372 0.625 0.247
0.375 0.622 0.747
0.378 0.125 0.753
0.875 0.628 0.253
0.250 0.750 0.500
0.500 0.500 0.000
```

Output
Density of states at the Fermi level, states/eV/atom: 0.7824
Electronic total energy, eV for the cell shown: -51.71
ΔE_f, meV per atom: 306.7
SG: I-42d
Crystal system: tetragonal

---

(5)
Entry from the Alexandria database: a geometry-optimized LaY2C structure (PBE-GGA).

Cell and atoms, written as POSCAR:
```
LaY2C
1.0
1.777 1.026 10.014
-1.777 1.026 10.014
0.000 -2.052 10.014
La Y C
1 2 1
direct
0.000 0.000 0.000
0.122 0.122 0.122
0.878 0.878 0.878
0.500 0.500 0.500
```

Output
Density of states at the Fermi level, states/eV/atom: 1.1651
Electronic total energy, eV for the cell shown: -27.55
ΔE_f, meV per atom: -118.1
SG: R-3m
Crystal system: trigonal

---

(6)
Entry from the Alexandria database: a geometry-optimized La3YC structure (PBE-GGA).

Cell and atoms, written as POSCAR:
```
La3YC
1.0
5.669 0.000 0.000
0.000 5.669 0.000
0.000 0.000 5.669
La Y C
3 1 1
direct
0.000 0.000 0.500
0.000 0.500 0.000
0.500 0.000 0.000
0.000 0.000 0.000
0.500 0.500 0.500
```

Output
Density of states at the Fermi level, states/eV/atom: 1.0424
Electronic total energy, eV for the cell shown: -21.11
ΔE_f, meV per atom: 1872.5
SG: Pm-3m
Crystal system: cubic

---

(7)
Entry from the Alexandria database: a geometry-optimized La2YC structure (PBE-GGA).

Cell and atoms, written as POSCAR:
```
La2YC
1.0
-4.776 4.776 2.469
4.776 -4.776 2.469
4.776 4.776 -2.469
La Y C
4 2 2
direct
0.375 0.229 0.354
0.771 0.125 0.146
0.875 0.021 0.646
0.979 0.625 0.854
0.250 0.750 0.500
0.500 0.500 0.000
0.000 0.000 0.000
0.750 0.250 0.500
```

Output
Density of states at the Fermi level, states/eV/atom: 1.2001
Electronic total energy, eV for the cell shown: -49.82
ΔE_f, meV per atom: 157.7
SG: I-42d
Crystal system: tetragonal

---

(8)
Entry from the Alexandria database: a geometry-optimized La3YC structure (PBE-GGA).

Cell and atoms, written as POSCAR:
```
La3YC
1.0
5.336 0.000 0.000
0.000 5.336 0.000
0.000 0.000 5.336
La Y C
3 1 1
direct
0.000 0.000 0.500
0.000 0.500 0.000
0.500 0.000 0.000
0.500 0.500 0.500
0.000 0.000 0.000
```

Output
Density of states at the Fermi level, states/eV/atom: 1.6310
Electronic total energy, eV for the cell shown: -30.05
ΔE_f, meV per atom: 84.2
SG: Pm-3m
Crystal system: cubic

---

(9)
Entry from the Alexandria database: a geometry-optimized LaY2ZnC structure (PBE-GGA).

Cell and atoms, written as POSCAR:
```
LaY2ZnC
1.0
4.898 0.000 0.000
0.000 4.898 0.000
0.000 0.000 5.215
La Y Zn C
1 2 1 1
direct
0.000 0.000 0.000
0.000 0.500 0.500
0.500 0.000 0.500
0.500 0.500 0.000
0.000 0.000 0.500
```

Output
Density of states at the Fermi level, states/eV/atom: 1.0617
Electronic total energy, eV for the cell shown: -29.26
ΔE_f, meV per atom: -181.2
SG: P4/mmm
Crystal system: tetragonal

---

(10)
Entry from the Alexandria database: a geometry-optimized La3ZnC structure (PBE-GGA).

Cell and atoms, written as POSCAR:
```
La3ZnC
1.0
7.834 -1.888 0.000
7.834 1.888 0.000
-0.465 0.000 8.994
La Zn C
6 2 2
direct
0.051 0.051 0.271
0.252 0.252 0.666
0.349 0.349 0.038
0.651 0.651 0.962
0.748 0.748 0.334
0.949 0.949 0.729
0.416 0.416 0.438
0.584 0.584 0.562
0.198 0.198 0.150
0.802 0.802 0.850
```

Output
Density of states at the Fermi level, states/eV/atom: 1.0502
Electronic total energy, eV for the cell shown: -52.15
ΔE_f, meV per atom: -159.2
SG: C2/m
Crystal system: monoclinic

---

(11)
Entry from the Alexandria database: a geometry-optimized LaZnC3 structure (PBE-GGA).

Cell and atoms, written as POSCAR:
```
LaZnC3
1.0
4.527 0.000 0.000
0.000 4.527 0.000
0.000 0.000 4.527
La Zn C
1 1 3
direct
0.000 0.000 0.000
0.500 0.500 0.500
0.000 0.000 0.500
0.000 0.500 0.000
0.500 0.000 0.000
```

Output
Density of states at the Fermi level, states/eV/atom: 1.1197
Electronic total energy, eV for the cell shown: -19.44
ΔE_f, meV per atom: 2886.9
SG: Pm-3m
Crystal system: cubic

---

(12)
Entry from the Alexandria database: a geometry-optimized La3ZnC structure (PBE-GGA).

Cell and atoms, written as POSCAR:
```
La3ZnC
1.0
5.193 0.000 0.000
0.000 5.193 0.000
0.000 0.000 5.193
La Zn C
3 1 1
direct
0.000 0.000 0.500
0.000 0.500 0.000
0.500 0.000 0.000
0.500 0.500 0.500
0.000 0.000 0.000
```

Output
Density of states at the Fermi level, states/eV/atom: 1.3656
Electronic total energy, eV for the cell shown: -25.69
ΔE_f, meV per atom: -82.0
SG: Pm-3m
Crystal system: cubic

---

Which value of ΔE_f does entry 2 give? -179.8 meV per atom